# 1
Here is crystalline PbW2Au at its relaxed geometry from the Alexandria database. Energies are from PBE-GGA.

Cell and atoms, written as POSCAR:
```
PbW2Au
1.0
-0.509 -6.863 -3.338
4.576 -2.952 5.371
-0.175 -5.500 2.572
W Pb Au
4 2 2
direct
0.144 0.625 0.250 W
0.606 0.125 0.250 W
0.375 0.394 0.750 W
0.875 0.856 0.750 W
0.000 0.000 0.000 Pb
0.750 0.250 0.500 Pb
0.500 0.500 0.000 Au
0.250 0.750 0.500 Au
```

- N(E_F) (states/eV per atom) = 0.787
- formation energy (kJ per mole of atoms) = 129.2
- space group = No. 122

# 2
Here is crystalline CaLa2NdY2 at its relaxed geometry from the Alexandria database. Energies are from PBE-GGA.

Cell and atoms, written as POSCAR:
```
CaLa2NdY2
1.0
3.469 0.000 0.000
0.000 6.734 0.000
0.000 0.000 18.828
La Y Ca Nd
4 4 2 2
direct
0.000 0.206 0.809 La
0.500 0.706 0.691 La
0.000 0.794 0.191 La
0.500 0.294 0.309 La
0.000 0.300 0.146 Y
0.000 0.700 0.854 Y
0.500 0.200 0.646 Y
0.500 0.800 0.354 Y
0.500 0.500 0.500 Ca
0.000 0.000 0.000 Ca
0.500 0.500 0.000 Nd
0.000 0.000 0.500 Nd
```

- N(E_F) (states/eV per atom) = 1.703
- formation energy (kJ per mole of atoms) = 24.4
- space group = No. 58